1.
The following is a PBE calculation of Tl5Cd5In2 after structural relaxation, from Alexandria via LeMat-Bulk.

a = 5.647 Å, b = 8.136 Å, c = 8.736 Å
α = 63.99°, β = 71.14°, γ = 69.69°
Element x y z (fractional)
Cd 0.927 0.766 0.379
Tl 0.678 0.016 0.628
Tl 0.500 0.500 0.500
Cd 0.235 0.724 0.806
Tl 0.410 0.250 0.930
Tl 0.590 0.750 0.070
Cd 0.073 0.234 0.621
In 0.160 0.461 0.219
In 0.840 0.539 0.781
Cd 0.765 0.276 0.194
Cd 0.000 0.000 0.000
Tl 0.322 0.984 0.372

Calculated values
Symmetry   C2/m, No. 12
Final energy   -21.322 eV per cell


2.
The following is a PBE calculation of LiPmH3 after structural relaxation, from Alexandria via LeMat-Bulk.

a = 3.663 Å, b = 3.663 Å, c = 3.663 Å
α = 90.00°, β = 90.00°, γ = 90.00°
Each line ends with the local moment (μB).
Element x y z (fractional)
Pm 0.500 0.500 0.500  0.24
H 0.000 0.000 0.500  0.00
H 0.500 0.000 0.000  0.00
H 0.000 0.500 0.000  0.00
Li 0.000 0.000 0.000  0.00

Calculated values
Symmetry   Pm-3m, No. 221
ΔE to the lowest computed polymorph   63 meV per atom